VASP calculation (GGA-PBE) on a relaxed structure of Na4Cd3Pt2.

a b c (Å): 4.501 6.411 7.969
angles (deg): 97.72 106.41 90.00
Atoms (fractional coordinates):
Cd  0.863  0.809  0.725
Cd  0.000  0.500  0.000
Cd  0.137  0.191  0.275
Na  0.418  0.133  0.837
Na  0.582  0.867  0.163
Na  0.215  0.680  0.431
Na  0.785  0.320  0.569
Pt  0.592  0.400  0.183
Pt  0.408  0.600  0.817

Results
As for the space-group type: C2/m, No. 12. For the density of states at the Fermi level, the calculation gives 2.617 states/eV/cell. Its total energy is -21.792 eV per cell.